# 1
KTbFeSe3 after structural relaxation, computed with PBE.

## Properties
- Calculated volume: 332 Å³ per cell
- Crystal system: orthorhombic
- M_tot: 0.666 μB per atom
- SG: No. 63
- Distance to the lowest polymorph of the same formula: 6 meV per atom

The structure in CIF format:
```
data_KTbFeSe3
_cell_length_a 7.702
_cell_length_b 7.702
_cell_length_c 10.825
_cell_angle_alpha 90.00
_cell_angle_beta 90.00
_cell_angle_gamma 31.09
_space_group_name_H-M_alt 'P 1'
_space_group_IT_number 1
_space_group_name_Hall 'P 1'
loop_
_atom_site_label
_atom_site_fract_x
_atom_site_fract_y
_atom_site_fract_z
Fe1 0.470 0.470 0.250
Fe2 0.530 0.530 0.750
K1 0.748 0.748 0.250
K2 0.252 0.252 0.750
Se1 0.374 0.374 0.069
Se2 0.068 0.068 0.250
Se3 0.374 0.374 0.431
Se4 0.626 0.626 0.569
Se5 0.932 0.932 0.750
Se6 0.626 0.626 0.931
Tb1 0.000 0.000 0.000
Tb2 0.000 0.000 0.500
```

***

# 2
KTbFeSe3 after structural relaxation, computed with PBE.

## Properties
- Calculated volume: 609 Å³ per cell
- Crystal system: orthorhombic
- M_tot: 0.666 μB per atom
- SG: No. 62
- Distance to the lowest polymorph of the same formula: 70 meV per atom

The structure in CIF format:
```
data_KTbFeSe3
_cell_length_a 4.282
_cell_length_b 11.312
_cell_length_c 12.570
_cell_angle_alpha 90.00
_cell_angle_beta 90.00
_cell_angle_gamma 90.00
_space_group_name_H-M_alt 'P 1'
_space_group_IT_number 1
_space_group_name_Hall 'P 1'
loop_
_atom_site_label
_atom_site_fract_x
_atom_site_fract_y
_atom_site_fract_z
Fe1 0.750 0.746 0.209
Fe2 0.750 0.246 0.291
Fe3 0.250 0.754 0.709
Fe4 0.250 0.254 0.791
K1 0.750 0.177 0.002
K2 0.750 0.677 0.498
K3 0.250 0.323 0.502
K4 0.250 0.823 0.998
Se1 0.750 0.602 0.064
Se2 0.750 0.951 0.164
Se3 0.250 0.220 0.196
Se4 0.250 0.720 0.304
Se5 0.750 0.451 0.336
Se6 0.750 0.102 0.436
Se7 0.250 0.898 0.564
Se8 0.250 0.549 0.664
Se9 0.750 0.280 0.696
Se10 0.750 0.780 0.804
Se11 0.250 0.049 0.836
Se12 0.250 0.398 0.936
Tb1 0.250 0.484 0.181
Tb2 0.250 0.984 0.319
Tb3 0.750 0.016 0.681
Tb4 0.750 0.516 0.819
```

***

# 3
KTmFeSe3 after structural relaxation, computed with PBE.

## Properties
- Calculated volume: 335 Å³ per cell
- Crystal system: monoclinic
- M_tot: 0.641 μB per atom
- SG: No. 11
- Distance to the lowest polymorph of the same formula: 0 meV per atom

The structure in CIF format:
```
data_KTmFeSe3
_cell_length_a 9.120
_cell_length_b 4.027
_cell_length_c 9.651
_cell_angle_alpha 90.00
_cell_angle_beta 108.86
_cell_angle_gamma 90.00
_space_group_name_H-M_alt 'P 1'
_space_group_IT_number 1
_space_group_name_Hall 'P 1'
loop_
_atom_site_label
_atom_site_fract_x
_atom_site_fract_y
_atom_site_fract_z
Fe1 0.072 0.250 0.088
Fe2 0.928 0.750 0.912
K1 0.792 0.750 0.264
K2 0.208 0.250 0.736
Se1 0.211 0.750 0.035
Se2 0.541 0.250 0.340
Se3 0.109 0.250 0.349
Se4 0.891 0.750 0.651
Se5 0.459 0.750 0.660
Se6 0.789 0.250 0.965
Tm1 0.332 0.750 0.355
Tm2 0.668 0.250 0.645
```

***

# 4
KTmFeSe3 after structural relaxation, computed with PBE.

## Properties
- Calculated volume: 323 Å³ per cell
- Crystal system: orthorhombic
- M_tot: 0.666 μB per atom
- SG: No. 63
- Distance to the lowest polymorph of the same formula: 22 meV per atom

The structure in CIF format:
```
data_KTmFeSe3
_cell_length_a 4.079
_cell_length_b 7.707
_cell_length_c 10.643
_cell_angle_alpha 90.00
_cell_angle_beta 90.00
_cell_angle_gamma 74.65
_space_group_name_H-M_alt 'P 1'
_space_group_IT_number 1
_space_group_name_Hall 'P 1'
loop_
_atom_site_label
_atom_site_fract_x
_atom_site_fract_y
_atom_site_fract_z
Fe1 0.531 0.939 0.250
Fe2 0.469 0.061 0.750
K1 0.252 0.497 0.250
K2 0.748 0.503 0.750
Se1 0.624 0.751 0.064
Se2 0.933 0.134 0.250
Se3 0.624 0.751 0.436
Se4 0.376 0.249 0.564
Se5 0.067 0.866 0.750
Se6 0.376 0.249 0.936
Tm1 0.000 0.000 0.000
Tm2 0.000 0.000 0.500
```

***

# 5
KTmFeSe3 after structural relaxation, computed with PBE.

## Properties
- Calculated volume: 628 Å³ per cell
- Crystal system: orthorhombic
- M_tot: 0.667 μB per atom
- SG: No. 62
- Distance to the lowest polymorph of the same formula: 28 meV per atom

The structure in CIF format:
```
data_KTmFeSe3
_cell_length_a 10.675
_cell_length_b 4.075
_cell_length_c 14.429
_cell_angle_alpha 90.00
_cell_angle_beta 90.00
_cell_angle_gamma 90.00
_space_group_name_H-M_alt 'P 1'
_space_group_IT_number 1
_space_group_name_Hall 'P 1'
loop_
_atom_site_label
_atom_site_fract_x
_atom_site_fract_y
_atom_site_fract_z
Fe1 0.752 0.000 0.216
Fe2 0.252 0.000 0.284
Fe3 0.748 0.500 0.716
Fe4 0.248 0.500 0.784
K1 0.231 0.000 0.003
K2 0.731 0.000 0.497
K3 0.269 0.500 0.503
K4 0.769 0.500 0.997
Se1 0.571 0.000 0.115
Se2 0.944 0.000 0.129
Se3 0.249 0.500 0.185
Se4 0.749 0.500 0.315
Se5 0.444 0.000 0.371
Se6 0.071 0.000 0.385
Se7 0.929 0.500 0.615
Se8 0.556 0.500 0.629
Se9 0.251 0.000 0.685
Se10 0.751 0.000 0.815
Se11 0.056 0.500 0.871
Se12 0.429 0.500 0.885
Tm1 0.502 0.500 0.241
Tm2 0.002 0.500 0.259
Tm3 0.998 0.000 0.741
Tm4 0.498 0.000 0.759
```

***

# 6
KZnFeSe3 after structural relaxation, computed with PBE.

## Properties
- Calculated volume: 295 Å³ per cell
- Crystal system: orthorhombic
- M_tot: 0.656 μB per atom
- SG: No. 63
- Distance to the lowest polymorph of the same formula: 0 meV per atom

The structure in CIF format:
```
data_KZnFeSe3
_cell_length_a 7.707
_cell_length_b 7.707
_cell_length_c 10.281
_cell_angle_alpha 90.00
_cell_angle_beta 90.00
_cell_angle_gamma 151.15
_space_group_name_H-M_alt 'P 1'
_space_group_IT_number 1
_space_group_name_Hall 'P 1'
loop_
_atom_site_label
_atom_site_fract_x
_atom_site_fract_y
_atom_site_fract_z
Fe1 0.000 0.000 0.000
Fe2 0.000 0.000 0.500
K1 0.750 0.250 0.250
K2 0.250 0.750 0.750
Se1 0.385 0.615 0.043
Se2 0.067 0.933 0.250
Se3 0.385 0.615 0.457
Se4 0.615 0.385 0.543
Se5 0.933 0.067 0.750
Se6 0.615 0.385 0.957
Zn1 0.465 0.535 0.250
Zn2 0.535 0.465 0.750
```

***

# 7
KZnFeSe3 after structural relaxation, computed with PBE.

## Properties
- Calculated volume: 311 Å³ per cell
- Crystal system: monoclinic
- M_tot: 0.482 μB per atom
- SG: No. 11
- Distance to the lowest polymorph of the same formula: 11 meV per atom

The structure in CIF format:
```
data_KZnFeSe3
_cell_length_a 9.012
_cell_length_b 3.660
_cell_length_c 10.028
_cell_angle_alpha 90.00
_cell_angle_beta 109.90
_cell_angle_gamma 90.00
_space_group_name_H-M_alt 'P 1'
_space_group_IT_number 1
_space_group_name_Hall 'P 1'
loop_
_atom_site_label
_atom_site_fract_x
_atom_site_fract_y
_atom_site_fract_z
Fe1 0.923 0.250 0.406
Fe2 0.077 0.750 0.594
K1 0.208 0.750 0.226
K2 0.792 0.250 0.774
Se1 0.877 0.250 0.160
Se2 0.476 0.250 0.162
Se3 0.800 0.750 0.483
Se4 0.200 0.250 0.517
Se5 0.524 0.750 0.838
Se6 0.123 0.750 0.840
Zn1 0.650 0.750 0.102
Zn2 0.350 0.250 0.898
```

***

# 8
KZnFeSe3 after structural relaxation, computed with PBE.

## Properties
- Calculated volume: 587 Å³ per cell
- Crystal system: orthorhombic
- M_tot: 0.666 μB per atom
- SG: No. 62
- Distance to the lowest polymorph of the same formula: 1 meV per atom

The structure in CIF format:
```
data_KZnFeSe3
_cell_length_a 10.244
_cell_length_b 3.830
_cell_length_c 14.955
_cell_angle_alpha 90.00
_cell_angle_beta 90.00
_cell_angle_gamma 90.00
_space_group_name_H-M_alt 'P 1'
_space_group_IT_number 1
_space_group_name_Hall 'P 1'
loop_
_atom_site_label
_atom_site_fract_x
_atom_site_fract_y
_atom_site_fract_z
Fe1 0.489 0.250 0.248
Fe2 0.989 0.250 0.252
Fe3 0.011 0.750 0.748
Fe4 0.511 0.750 0.752
K1 0.241 0.250 0.002
K2 0.741 0.250 0.498
K3 0.259 0.750 0.502
K4 0.759 0.750 0.998
Se1 0.444 0.750 0.134
Se2 0.033 0.750 0.137
Se3 0.736 0.250 0.181
Se4 0.236 0.250 0.319
Se5 0.533 0.750 0.363
Se6 0.944 0.750 0.366
Se7 0.056 0.250 0.634
Se8 0.467 0.250 0.637
Se9 0.764 0.750 0.681
Se10 0.264 0.750 0.819
Se11 0.967 0.250 0.863
Se12 0.556 0.250 0.866
Zn1 0.240 0.750 0.217
Zn2 0.740 0.750 0.283
Zn3 0.260 0.250 0.717
Zn4 0.760 0.250 0.783
```

***

# 9
KFe3Si5 after structural relaxation, computed with PBE.

## Properties
- Calculated total energy: -53.647 eV per formula unit
- Calculated volume: 163 Å³ per cell
- Crystal system: hexagonal
- M_tot: 0.339 μB per atom
- SG: No. 191

The structure in CIF format:
```
data_KFe3Si5
_cell_length_a 4.724
_cell_length_b 4.724
_cell_length_c 8.444
_cell_angle_alpha 90.00
_cell_angle_beta 90.00
_cell_angle_gamma 120.00
_space_group_name_H-M_alt 'P 1'
_space_group_IT_number 1
_space_group_name_Hall 'P 1'
loop_
_atom_site_label
_atom_site_fract_x
_atom_site_fract_y
_atom_site_fract_z
Fe1 0.500 0.000 0.500
Fe2 0.000 0.500 0.500
Fe3 0.500 0.500 0.500
K1 0.000 0.000 0.000
Si1 0.667 0.333 0.268
Si2 0.333 0.667 0.268
Si3 0.000 0.000 0.500
Si4 0.667 0.333 0.732
Si5 0.333 0.667 0.732
```

***

Copy entry 9 word for word.
KFe3Si5 after structural relaxation, computed with PBE.

## Properties
- Calculated total energy: -53.647 eV per formula unit
- Calculated volume: 163 Å³ per cell
- Crystal system: hexagonal
- M_tot: 0.339 μB per atom
- SG: No. 191

The structure in CIF format:
```
data_KFe3Si5
_cell_length_a 4.724
_cell_length_b 4.724
_cell_length_c 8.444
_cell_angle_alpha 90.00
_cell_angle_beta 90.00
_cell_angle_gamma 120.00
_space_group_name_H-M_alt 'P 1'
_space_group_IT_number 1
_space_group_name_Hall 'P 1'
loop_
_atom_site_label
_atom_site_fract_x
_atom_site_fract_y
_atom_site_fract_z
Fe1 0.500 0.000 0.500
Fe2 0.000 0.500 0.500
Fe3 0.500 0.500 0.500
K1 0.000 0.000 0.000
Si1 0.667 0.333 0.268
Si2 0.333 0.667 0.268
Si3 0.000 0.000 0.500
Si4 0.667 0.333 0.732
Si5 0.333 0.667 0.732
```

***

Copy entry 1 word for word.
KTbFeSe3 after structural relaxation, computed with PBE.

## Properties
- Calculated volume: 332 Å³ per cell
- Crystal system: orthorhombic
- M_tot: 0.666 μB per atom
- SG: No. 63
- Distance to the lowest polymorph of the same formula: 6 meV per atom

The structure in CIF format:
```
data_KTbFeSe3
_cell_length_a 7.702
_cell_length_b 7.702
_cell_length_c 10.825
_cell_angle_alpha 90.00
_cell_angle_beta 90.00
_cell_angle_gamma 31.09
_space_group_name_H-M_alt 'P 1'
_space_group_IT_number 1
_space_group_name_Hall 'P 1'
loop_
_atom_site_label
_atom_site_fract_x
_atom_site_fract_y
_atom_site_fract_z
Fe1 0.470 0.470 0.250
Fe2 0.530 0.530 0.750
K1 0.748 0.748 0.250
K2 0.252 0.252 0.750
Se1 0.374 0.374 0.069
Se2 0.068 0.068 0.250
Se3 0.374 0.374 0.431
Se4 0.626 0.626 0.569
Se5 0.932 0.932 0.750
Se6 0.626 0.626 0.931
Tb1 0.000 0.000 0.000
Tb2 0.000 0.000 0.500
```

***

Look up the M_tot of the fourth one.
0.666 μB per atom